# Cu2GeIr GGA-PBE relaxed
data_Cu2GeIr
_chemical_formula_sum 'Cu2 Ge1 Ir1'
_symmetry_space_group_name_H-M 'P 4/m m m'
_symmetry_Int_Tables_number 123
_symmetry_space_group_name_Hall '-P 4 2'
_cell_length_a 3.682
_cell_length_b 3.682
_cell_length_c 3.957
_cell_angle_alpha 90.00
_cell_angle_beta 90.00
_cell_angle_gamma 90.00
loop_
_atom_site_label
_atom_site_type_symbol
_atom_site_fract_x
_atom_site_fract_y
_atom_site_fract_z
Cu1 Cu 0.000 0.500 0.000
Ge1 Ge 0.000 0.000 0.500
Ir1 Ir 0.500 0.500 0.500
# uncorrected energy: -5.4517 eV/atom
# crystal system: tetragonal
# Fermi-level density of states: 2.158 states/eV/cell
# energy of formation: -34 meV/atom